# BaHgRu2C | the Alexandria database | PBE | relaxed
# * total energy: -5.270 eV per atom
# * ΔE_f: 730 meV per atom
data_BaHgRu2C
_symmetry_space_group_name_H-M 'P 4/m m m'
_symmetry_Int_Tables_number 123
_symmetry_space_group_name_Hall '-P 4 2'
_cell_length_a 4.239
_cell_length_b 4.239
_cell_length_c 5.515
_cell_angle_alpha 90.00
_cell_angle_beta 90.00
_cell_angle_gamma 90.00
loop_
_atom_site_label
_atom_site_fract_x
_atom_site_fract_y
_atom_site_fract_z
_atom_site_occupancy
Ba1 0.000 0.000 0.000 1
Hg1 0.500 0.500 0.000 1
Ru1 0.000 0.500 0.500 1
C1 0.500 0.500 0.500 1

# DyEr2Tm | the Alexandria database | PBE | relaxed
# * total energy: -4.542 eV per atom
# * ΔE_f: 8 meV per atom
data_DyEr2Tm
_symmetry_space_group_name_H-M 'R 3 m'
_symmetry_Int_Tables_number 160
_symmetry_space_group_name_Hall 'R 3 -2"'
_cell_length_a 3.5324
_cell_length_b 3.5324
_cell_length_c 33.8434
_cell_angle_alpha 90.00
_cell_angle_beta 90.00
_cell_angle_gamma 120.00
loop_
_atom_site_label
_atom_site_fract_x
_atom_site_fract_y
_atom_site_fract_z
_atom_site_occupancy
Dy1 0.0000 0.0000 0.0000 1
Er1 0.0000 0.0000 0.4178 1
Er2 0.0000 0.0000 0.5827 1
Tm1 0.0000 0.0000 0.8341 1

# Na2PaPO8 | the Alexandria database | PBE | relaxed
# * total energy: -6.264 eV per atom
# * energy relative to the elements, uncorrected: -1497 meV per atom
data_Na2PaPO8
_symmetry_space_group_name_H-M 'P -3 m 1'
_symmetry_Int_Tables_number 164
_symmetry_space_group_name_Hall '-P 3 2"'
_cell_length_a 5.3166
_cell_length_b 5.3166
_cell_length_c 5.7912
_cell_angle_alpha 90.00
_cell_angle_beta 90.00
_cell_angle_gamma 120.00
loop_
_atom_site_label
_atom_site_fract_x
_atom_site_fract_y
_atom_site_fract_z
_atom_site_occupancy
Na1 0.3333 0.6667 0.4189 1
Pa1 0.0000 0.0000 0.0000 1
P1 0.0000 0.0000 0.5000 1
O1 0.1462 0.2924 0.6804 1
O2 0.3333 0.6667 0.0278 1

# LaTb6Sm2 | the Alexandria database | PBE | relaxed
# * total energy: -4.587 eV per atom
# * ΔE_f: 96 meV per atom
data_LaTb6Sm2
_symmetry_space_group_name_H-M 'C 1 2/c 1'
_symmetry_Int_Tables_number 15
_symmetry_space_group_name_Hall '-C 2yc'
_cell_length_a 16.620
_cell_length_b 11.695
_cell_length_c 6.135
_cell_angle_alpha 90.00
_cell_angle_beta 96.78
_cell_angle_gamma 90.00
loop_
_atom_site_label
_atom_site_fract_x
_atom_site_fract_y
_atom_site_fract_z
_atom_site_occupancy
La1 0.000 0.101 0.250 1
Tb1 0.048 0.364 0.519 1
Tb2 0.123 0.138 0.815 1
Tb3 0.219 0.139 0.346 1
Sm1 0.165 0.400 0.090 1

# Sm2Sn4Pd3Pt | the Alexandria database | PBE | relaxed
# * total energy: -5.465 eV per atom
# * ΔE_f: -758 meV per atom
data_Sm2Sn4Pd3Pt
_symmetry_space_group_name_H-M 'P -4 m 2'
_symmetry_Int_Tables_number 115
_symmetry_space_group_name_Hall 'P -4 -2'
_cell_length_a 4.553
_cell_length_b 4.553
_cell_length_c 10.817
_cell_angle_alpha 90.00
_cell_angle_beta 90.00
_cell_angle_gamma 90.00
loop_
_atom_site_label
_atom_site_fract_x
_atom_site_fract_y
_atom_site_fract_z
_atom_site_occupancy
Sm1 0.000 0.500 0.235 1
Sn1 0.000 0.000 0.500 1
Sn2 0.000 0.500 0.871 1
Sn3 0.500 0.500 0.500 1
Pd1 0.000 0.000 0.000 1
Pd2 0.000 0.500 0.633 1
Pt1 0.500 0.500 0.000 1

# ErPa2AlN5 | the Alexandria database | PBE | relaxed
# * total energy: -9.105 eV per atom
# * energy relative to the elements, uncorrected: -1446 meV per atom
data_ErPa2AlN5
_symmetry_space_group_name_H-M 'C m c 21'
_symmetry_Int_Tables_number 36
_symmetry_space_group_name_Hall 'C 2c -2'
_cell_length_a 3.411
_cell_length_b 13.611
_cell_length_c 10.587
_cell_angle_alpha 90.00
_cell_angle_beta 90.00
_cell_angle_gamma 90.00
loop_
_atom_site_label
_atom_site_fract_x
_atom_site_fract_y
_atom_site_fract_z
_atom_site_occupancy
Er1 0.000 0.212 0.000 1
Pa1 0.000 0.127 0.274 1
Pa2 0.000 0.134 0.710 1
Al1 0.000 0.499 0.502 1
N1 0.000 0.046 0.066 1
N2 0.000 0.293 0.344 1
N3 0.000 0.293 0.660 1
N4 0.000 0.370 0.066 1
N5 0.000 0.483 0.818 1

# Ho6FeTe4 | the Alexandria database | PBE | relaxed
# * total energy: -5.246 eV per atom
# * energy relative to the elements, uncorrected: -837 meV per atom
data_Ho6FeTe4
_symmetry_space_group_name_H-M 'R -3 c'
_symmetry_Int_Tables_number 167
_symmetry_space_group_name_Hall '-R 3 2"c'
_cell_length_a 11.9148
_cell_length_b 11.9148
_cell_length_c 15.0267
_cell_angle_alpha 90.00
_cell_angle_beta 90.00
_cell_angle_gamma 120.00
loop_
_atom_site_label
_atom_site_fract_x
_atom_site_fract_y
_atom_site_fract_z
_atom_site_occupancy
Ho1 0.0280 0.1868 0.4021 1
Fe1 0.0000 0.0000 0.0000 1
Te1 0.0000 0.0000 0.2500 1
Te2 0.0000 0.3706 0.2500 1

# PmIn2Cu9 | the Alexandria database | PBE | relaxed
# * total energy: -4.057 eV per atom
# * ΔE_f: -133 meV per atom
data_PmIn2Cu9
_symmetry_space_group_name_H-M 'R -3 m'
_symmetry_Int_Tables_number 166
_symmetry_space_group_name_Hall '-R 3 2"'
_cell_length_a 5.0767
_cell_length_b 5.0767
_cell_length_c 24.5256
_cell_angle_alpha 90.00
_cell_angle_beta 90.00
_cell_angle_gamma 120.00
loop_
_atom_site_label
_atom_site_fract_x
_atom_site_fract_y
_atom_site_fract_z
_atom_site_occupancy
Pm1 0.0000 0.0000 0.0000 1
In1 0.0000 0.0000 0.1410 1
Cu1 0.0000 0.0000 0.3335 1
Cu2 0.0000 0.0000 0.5000 1
Cu3 0.0031 0.5016 0.9159 1